! GGA-PBE TcGeBr2, relaxed; values from VASP
! total energy	-0.3231	Ry/atom
! formation energy without anion corrections	187	meV per atom
! energy above the lowest structure with this stoichiometry	0.0	meV per atom
! space-group type	I-42d, No. 122
&SYSTEM
  ibrav = 0, nat = 16, ntyp = 3
/
ATOMIC_SPECIES
Tc 98.00 Tc.upf
Ge 72.64 Ge.upf
Br 79.90 Br.upf
CELL_PARAMETERS angstrom
9.261 0.000 0.000
0.000 9.261 0.000
0.000 0.000 4.839
ATOMIC_POSITIONS crystal
Tc 0.000 0.000 0.000
Tc 0.000 0.500 0.250
Tc 0.500 0.000 0.750
Tc 0.500 0.500 0.500
Ge 0.000 0.000 0.500
Ge 0.000 0.500 0.750
Ge 0.500 0.000 0.250
Ge 0.500 0.500 0.000
Br 0.108 0.750 0.125
Br 0.250 0.108 0.875
Br 0.250 0.392 0.375
Br 0.392 0.750 0.625
Br 0.608 0.250 0.625
Br 0.750 0.608 0.375
Br 0.750 0.892 0.875
Br 0.892 0.250 0.125

! GGA-PBE MnNiSb4, relaxed; values from VASP
! total energy	-0.3878	Ry/atom
! formation energy without anion corrections	-37	meV per atom
! energy above the lowest structure with this stoichiometry	0.0	meV per atom
! space-group type	C2/c, No. 15
&SYSTEM
  ibrav = 0, nat = 12, ntyp = 3
/
ATOMIC_SPECIES
Mn 54.94 Mn.upf
Ni 58.69 Ni.upf
Sb 121.76 Sb.upf
CELL_PARAMETERS angstrom
4.170 -7.324 0.000
4.170 7.324 0.000
-3.569 0.000 4.179
ATOMIC_POSITIONS crystal
Mn 0.048 0.952 0.750
Mn 0.952 0.048 0.250
Ni 0.312 0.688 0.250
Ni 0.688 0.312 0.750
Sb 0.019 0.631 0.792
Sb 0.240 0.355 0.850
Sb 0.355 0.240 0.350
Sb 0.369 0.981 0.708
Sb 0.631 0.019 0.292
Sb 0.645 0.760 0.650
Sb 0.760 0.645 0.150
Sb 0.981 0.369 0.208

! GGA-PBE Li2YFe, relaxed; values from VASP
! total energy	-0.3231	Ry/atom
! energy of formation from the pure elements	0.29	eV/atom
! energy above the lowest structure with this stoichiometry	55.6	meV per atom
! space-group type	Pmmm, No. 47
&SYSTEM
  ibrav = 0, nat = 4, ntyp = 3
/
ATOMIC_SPECIES
Li 6.94 Li.upf
Y 88.91 Y.upf
Fe 55.84 Fe.upf
CELL_PARAMETERS angstrom
3.473 0.000 0.000
0.000 4.290 0.000
0.000 0.000 5.206
ATOMIC_POSITIONS crystal
Li 0.000 0.000 0.000
Li 0.500 0.500 0.000
Y 0.000 0.500 0.500
Fe 0.500 0.000 0.500